Record 1
VASP calculation (PBE) on Y2HfBr after structural relaxation.

Cell lengths 8.4603, 8.4603, 6.7591 Å; angles 51.26, 51.26, 90.00 degrees
Fractional positions:
1 Hf 0.0000 0.0000 0.0000
2 Hf 0.7500 0.2500 0.5000
3 Br 0.2500 0.7500 0.5000
4 Br 0.5000 0.5000 0.0000
5 Y 0.8750 0.8182 0.7500
6 Y 0.5682 0.1250 0.2500
7 Y 0.3750 0.4318 0.7500
8 Y 0.1818 0.6250 0.2500

Calculated values
Raw formation energy: 0.550 eV/f.u.
Magnetization: 0.92 μB/f.u.
ΔE to the lowest computed polymorph: 175.0 meV/atom
Space-group type: I-42d
Theoretical density: 6.4 g/cm³
Total energy: -6.001 eV per atom


Record 2
VASP calculation (PBE) on SnH2Rh after structural relaxation.

Cell lengths 3.9809, 3.9809, 3.9809 Å; angles 60.00, 60.00, 60.00 degrees
Fractional positions:
1 Sn 0.5000 0.5000 0.5000
2 H 0.7500 0.7500 0.7500
3 H 0.2500 0.2500 0.2500
4 Rh 0.0000 0.0000 0.0000

Calculated values
Magnetization: 0.00 μB/f.u.
ΔE to the lowest computed polymorph: 897.6 meV/atom
Space-group type: Fm-3m
Theoretical density: 8.3 g/cm³
Total energy: -3.794 eV per atom


Record 3
VASP calculation (PBE) on Ac3HoOs2N6 after structural relaxation.

Cell lengths 6.0606, 6.0606, 6.8117 Å; angles 90.00, 90.00, 120.00 degrees
Fractional positions:
1 N 0.1708 0.3416 0.2908
2 N 0.8292 0.1708 0.7092
3 N 0.8292 0.6584 0.7092
4 N 0.6584 0.8292 0.2908
5 N 0.3416 0.1708 0.7092
6 N 0.1708 0.8292 0.2908
7 Ac 0.0000 0.0000 0.0000
8 Ac 0.3333 0.6667 0.6875
9 Ac 0.6667 0.3333 0.3125
10 Os 0.6667 0.3333 0.8147
11 Os 0.3333 0.6667 0.1853
12 Ho 0.0000 0.0000 0.5000

Calculated values
Raw formation energy: -7.976 eV/f.u.
Magnetization: 0.00 μB/f.u.
Space-group type: P-3m1
Theoretical density: 10.0 g/cm³
Total energy: -8.108 eV per atom


Record 4
VASP calculation (PBE) on BaScCo after structural relaxation.

Cell lengths 4.8729, 4.8729, 6.7009 Å; angles 90.00, 90.00, 90.00 degrees
Fractional positions:
1 Sc 0.5000 0.5000 0.5000
2 Sc 0.0000 0.0000 0.5000
3 Ba 0.0000 0.5000 0.1144
4 Ba 0.5000 0.0000 0.8856
5 Co 0.5000 0.0000 0.3731
6 Co 0.0000 0.5000 0.6269

Calculated values
Magnetization: 0.00 μB/f.u.
Formation enthalpy at 0 K: 0.3 eV/f.u.
ΔE to the lowest computed polymorph: 101.5 meV/atom
Space-group type: P4/nmm
Theoretical density: 5.0 g/cm³
Total energy: -5.023 eV per atom


Record 5
VASP calculation (PBE) on DyHfIn6 after structural relaxation.

Cell lengths 4.5786, 4.5786, 9.0930 Å; angles 90.00, 90.00, 90.00 degrees
Fractional positions:
1 In 0.0000 0.5000 0.7419
2 In 0.5000 0.0000 0.2581
3 In 0.0000 0.5000 0.2581
4 In 0.5000 0.0000 0.7419
5 In 0.5000 0.5000 0.5000
6 In 0.5000 0.5000 0.0000
7 Dy 0.0000 0.0000 0.0000
8 Hf 0.0000 0.0000 0.5000

Calculated values
Magnetization: 0.00 μB/f.u.
Formation enthalpy at 0 K: -1.8 eV/f.u.
Space-group type: P4/mmm
Theoretical density: 9.0 g/cm³
Total energy: -4.102 eV per atom


Record 6
VASP calculation (PBE) on Cd2CuRuO6 after structural relaxation.

Cell lengths 4.7963, 5.2309, 5.2309 Å; angles 90.00, 90.00, 90.00 degrees
Fractional positions:
1 O 0.7094 0.2433 0.7567
2 O 0.2159 0.0000 0.0000
3 O 0.1785 0.5000 0.5000
4 O 0.7094 0.7567 0.2433
5 O 0.7094 0.2433 0.2433
6 O 0.7094 0.7567 0.7567
7 Cu 0.5766 0.5000 0.5000
8 Cd 0.0231 0.5000 0.0000
9 Cd 0.0231 0.0000 0.5000
10 Ru 0.5921 0.0000 0.0000

Calculated values
Raw formation energy: -6.319 eV/f.u.
Magnetization: 0.08 μB/f.u.
Space-group type: P4mm
Theoretical density: 6.1 g/cm³
Total energy: -5.127 eV per atom


Record 7
VASP calculation (PBE) on KLi2OsRu after structural relaxation.

Cell lengths 4.0207, 5.1865, 4.0207 Å; angles 90.00, 90.00, 90.00 degrees
Fractional positions:
1 Li 0.5000 0.0000 0.0000
2 Li 0.0000 0.0000 0.5000
3 Ru 0.5000 0.5000 0.5000
4 K 0.0000 0.0000 0.0000
5 Os 0.0000 0.5000 0.0000

Calculated values
Magnetization: 2.18 μB/f.u.
Formation enthalpy at 0 K: 9.2 eV/f.u.
Space-group type: P4/mmm
Theoretical density: 6.8 g/cm³
Total energy: -3.237 eV per atom


Record 8
VASP calculation (PBE) on SbTeBr2 after structural relaxation.

Cell lengths 3.6755, 3.6755, 10.2454 Å; angles 90.00, 90.00, 118.66 degrees
Fractional positions:
1 Sb 0.0000 0.0000 0.5076
2 Te 0.5000 0.5000 0.7379
3 Br 0.0000 0.0000 0.9645
4 Br 0.5000 0.5000 0.2900

Calculated values
Raw formation energy: 0.346 eV/f.u.
Magnetization: 0.00 μB/f.u.
ΔE to the lowest computed polymorph: 380.5 meV/atom
Space-group type: Cmm2
Theoretical density: 5.6 g/cm³
Total energy: -2.566 eV per atom